1.
# KSrTlSe3

KSrTlSe3 after structural relaxation (PBE-GGA, Alexandria).

Unit cell a=13.717 b=6.273 c=9.361 alpha=90.00 beta=103.44 gamma=90.00
Space group C2/m (No. 12)
Unique sites:
K  0.155  0.000  0.052
Sr  0.162  0.000  0.577
Tl  0.027  0.500  0.302
Se  0.010  0.000  0.277
Se  0.151  0.500  0.598
Se  0.161  0.500  0.142

Calculated values
Crystal system: monoclinic
Formation energy without anion corrections in kJ/mol of formula units: -576

2.
# K2SrUSe6

K2SrUSe6 after structural relaxation (PBE-GGA, Alexandria).

Unit cell a=8.233 b=6.805 c=14.228 alpha=90.00 beta=125.28 gamma=90.00
Space group P2_1/c (No. 14)
Unique sites:
K  0.179  0.004  0.239
Sr  0.000  0.000  0.500
U  0.500  0.000  0.000
Se  0.214  0.089  0.023
Se  0.238  0.508  0.269
Se  0.402  0.610  0.017

Calculated values
Crystal system: monoclinic
Formation energy without anion corrections in kJ/mol of formula units: -1076

3.
# K2Sr2USe6

K2Sr2USe6 after structural relaxation (PBE-GGA, Alexandria).

Unit cell a=7.676 b=12.899 c=8.158 alpha=90.00 beta=108.67 gamma=90.00
Space group C2/m (No. 12)
Unique sites:
K  0.000  0.174  0.000
Sr  0.000  0.335  0.500
U  0.000  0.000  0.500
Se  0.217  0.148  0.705
Se  0.220  0.000  0.296

Calculated values
Crystal system: monoclinic
Formation energy without anion corrections in kJ/mol of formula units: -1573

4.
# K3Sr3USe8

K3Sr3USe8 after structural relaxation (PBE-GGA, Alexandria).

Unit cell a=8.9006 b=8.9006 c=23.3225 alpha=90.00 beta=90.00 gamma=120.00
Space group R-3m (No. 166, hexagonal axes)
Unique sites:
K  0.0000  0.5000  0.0000
Sr  0.0000  0.5000  0.5000
U  0.0000  0.0000  0.5000
Se  0.0000  0.0000  0.2397
Se  0.0429  0.5215  0.2328

Calculated values
Crystal system: trigonal
Formation energy without anion corrections in kJ/mol of formula units: -2081

5.
# K2SrVSe4

K2SrVSe4 after structural relaxation (PBE-GGA, Alexandria).

Unit cell a=9.006 b=9.634 c=6.481 alpha=90.00 beta=90.00 gamma=90.00
Space group Pmn2_1 (No. 31)
Unique sites:
K  0.212  0.142  0.000
Sr  0.000  0.394  0.490
V  0.000  0.681  0.909
Se  0.000  0.440  0.992
Se  0.000  0.695  0.551
Se  0.224  0.798  0.005

Calculated values
Crystal system: orthorhombic
Formation energy without anion corrections in kJ/mol of formula units: -872

6.
# K2SrZn2Se4

K2SrZn2Se4 after structural relaxation (PBE-GGA, Alexandria).

Unit cell a=16.387 b=4.223 c=8.230 alpha=90.00 beta=111.97 gamma=90.00
Space group C2/m (No. 12)
Unique sites:
K  0.123  0.000  0.055
Sr  0.000  0.000  0.500
Zn  0.172  0.500  0.473
Se  0.025  0.500  0.252
Se  0.212  0.000  0.670

Calculated values
Crystal system: monoclinic
Formation energy without anion corrections in kJ/mol of formula units: -1031